(1)
Here is Li5Tc after structural relaxation from the Alexandria database. Energies are from PBE.

It has space group Amm2 (No. 38), with a = 4.7429 Å, b = 2.5468 Å, c = 15.8858 Å, α = 90.00°, β = 90.00° and γ = 90.00°. The asymmetric unit holds Li at (0.0000, 0.0000, 0.0000), Li at (0.0000, 0.0000, 0.3118), Li at (0.5000, 0.0000, 0.0940), Li at (0.5000, 0.0000, 0.4196), Li at (0.5000, 0.0000, 0.7427) and Tc at (0.0000, 0.0000, 0.6541).

The calculation puts the calculated volume at 191.9 Å³/cell. Its total energy is -3.0881 eV per atom. The calculation puts the energy above the most stable polymorph in this dataset at 2.23 kcal/mol of atoms.

---

(2)
Here is Li2Tc after structural relaxation from the Alexandria database. Energies are from PBE.

It has space group Pnma (No. 62), with a = 5.3666 Å, b = 4.1838 Å, c = 7.6663 Å, α = 90.00°, β = 90.00° and γ = 90.00°. The asymmetric unit holds Li at (0.0055, 0.2500, 0.0811), Li at (0.2491, 0.2500, 0.7504) and Tc at (0.0033, 0.2500, 0.4237).

The calculation puts the calculated volume at 172.1 Å³/cell. Its total energy is -4.4272 eV per atom. The calculation puts the energy above the most stable polymorph in this dataset at 2.89 kcal/mol of atoms.

---

(3)
Here is Li2Tc after structural relaxation from the Alexandria database. Energies are from PBE.

It has space group I4/mmm (No. 139), with a = 2.5251 Å, b = 2.5251 Å, c = 14.0326 Å, α = 90.00°, β = 90.00° and γ = 90.00°. The asymmetric unit holds Li at (0.0000, 0.0000, 0.1568) and Tc at (0.0000, 0.0000, 0.5000).

The calculation puts the calculated volume at 89.5 Å³/cell. Its total energy is -4.5520 eV per atom. The calculation puts the energy above the most stable polymorph in this dataset at 0.01 kcal/mol of atoms.

---

(4)
Here is Li2Tc after structural relaxation from the Alexandria database. Energies are from PBE.

It has space group Cmcm (No. 63), with a = 4.6380 Å, b = 12.6618 Å, c = 3.1249 Å, α = 90.00°, β = 90.00° and γ = 90.00°. The asymmetric unit holds Li at (0.0000, 0.0757, 0.2500), Li at (0.0000, 0.2407, 0.7500) and Tc at (0.0000, 0.4314, 0.2500).

The calculation puts the calculated volume at 183.5 Å³/cell. Its total energy is -4.4213 eV per atom. The calculation puts the energy above the most stable polymorph in this dataset at 3.03 kcal/mol of atoms.

---

(5)
Here is LiTc5 after structural relaxation from the Alexandria database. Energies are from PBE.

It has space group Cm (No. 8), with a = 9.8001 Å, b = 2.9137 Å, c = 6.2468 Å, α = 90.00°, β = 107.34° and γ = 90.00°. The asymmetric unit holds Li at (0.0000, 0.0000, 0.0000), Tc at (0.0469, 0.0000, 0.5611), Tc at (0.1742, 0.5000, 0.3278), Tc at (0.1983, 0.5000, 0.8949), Tc at (0.3394, 0.0000, 0.6665) and Tc at (0.3635, 0.0000, 0.2252).

The calculation puts the calculated volume at 170.3 Å³/cell. Its total energy is -8.7967 eV per atom. The calculation puts the energy above the most stable polymorph in this dataset at 1.17 kcal/mol of atoms.

---

(6)
Here is Li5Tc after structural relaxation from the Alexandria database. Energies are from PBE.

It has space group Cm (No. 8), with a = 10.7954 Å, b = 2.5501 Å, c = 7.1073 Å, α = 90.00°, β = 103.03° and γ = 90.00°. The asymmetric unit holds Li at (0.0000, 0.0000, 0.0000), Li at (0.0616, 0.0000, 0.6046), Li at (0.1684, 0.5000, 0.3084), Li at (0.2502, 0.5000, 0.9732), Li at (0.3322, 0.0000, 0.6313) and Tc at (0.4038, 0.0000, 0.2896).

The calculation puts the calculated volume at 190.6 Å³/cell. Its total energy is -3.1082 eV per atom. The calculation puts the energy above the most stable polymorph in this dataset at 1.77 kcal/mol of atoms.

---

(7)
Here is Li4Tc5 after structural relaxation from the Alexandria database. Energies are from PBE.

It has space group I4/mmm (No. 139), with a = 8.7945 Å, b = 8.7945 Å, c = 3.1905 Å, α = 90.00°, β = 90.00° and γ = 90.00°. The asymmetric unit holds Li at (0.0000, 0.3332, 0.0000), Tc at (0.0000, 0.0000, 0.0000) and Tc at (0.1722, 0.1722, 0.5000).

The calculation puts the calculated volume at 246.8 Å³/cell. Its total energy is -6.3688 eV per atom.

---

(8)
Here is Li2Tc after structural relaxation from the Alexandria database. Energies are from PBE.

It has space group C2/m (No. 12), with a = 10.7682 Å, b = 2.4744 Å, c = 6.9135 Å, α = 90.00°, β = 100.49° and γ = 90.00°. The asymmetric unit holds Li at (0.0328, 0.0000, 0.3401), Li at (0.1386, 0.5000, 0.0169) and Tc at (0.2115, 0.5000, 0.6506).

The calculation puts the calculated volume at 181.1 Å³/cell. Its total energy is -4.4131 eV per atom. The calculation puts the energy above the most stable polymorph in this dataset at 3.21 kcal/mol of atoms.

---

(9)
Here is Li5Tc after structural relaxation from the Alexandria database. Energies are from PBE.

It has space group Cmmm (No. 65), with a = 4.8817 Å, b = 14.7194 Å, c = 2.5660 Å, α = 90.00°, β = 90.00° and γ = 90.00°. The asymmetric unit holds Li at (0.0000, 0.0000, 0.0000), Li at (0.0000, 0.1533, 0.5000), Li at (0.0000, 0.3377, 0.0000) and Tc at (0.0000, 0.5000, 0.5000).

The calculation puts the calculated volume at 184.4 Å³/cell. Its total energy is -3.0816 eV per atom. The calculation puts the energy above the most stable polymorph in this dataset at 2.38 kcal/mol of atoms.

---

(10)
Here is Li2Tc after structural relaxation from the Alexandria database. Energies are from PBE.

It has space group P6_3/mmc (No. 194), with a = 4.2969 Å, b = 4.2969 Å, c = 5.0359 Å, α = 90.00°, β = 90.00° and γ = 120.00°. The asymmetric unit holds Li at (0.0000, 0.0000, 0.0000), Li at (0.3333, 0.6667, 0.2500) and Tc at (0.3333, 0.6667, 0.7500).

The calculation puts the calculated volume at 80.5 Å³/cell. Its total energy is -3.9032 eV per atom. The calculation puts the energy above the most stable polymorph in this dataset at 14.97 kcal/mol of atoms.

---

(11)
Here is Li2Tc after structural relaxation from the Alexandria database. Energies are from PBE.

It has space group Cm (No. 8), with a = 10.7090 Å, b = 2.4844 Å, c = 6.9277 Å, α = 90.00°, β = 105.72° and γ = 90.00°. The asymmetric unit holds Li at (0.0000, 0.0000, 0.0000), Li at (0.0634, 0.0000, 0.6271), Li at (0.1570, 0.5000, 0.3134), Li at (0.3258, 0.0000, 0.6554), Tc at (0.2367, 0.5000, 0.9637) and Tc at (0.3881, 0.0000, 0.2869).

The calculation puts the calculated volume at 177.4 Å³/cell. Its total energy is -4.4352 eV per atom. The calculation puts the energy above the most stable polymorph in this dataset at 2.71 kcal/mol of atoms.

---

(12)
Here is Li2Tc after structural relaxation from the Alexandria database. Energies are from PBE.

It has space group Fm-3m (No. 225), with a = 6.1987 Å, b = 6.1987 Å, c = 6.1987 Å, α = 90.00°, β = 90.00° and γ = 90.00°. The asymmetric unit holds Li at (0.2500, 0.2500, 0.2500) and Tc at (0.0000, 0.0000, 0.0000).

The calculation puts the calculated volume at 238.2 Å³/cell. Its total energy is -3.4082 eV per atom. The calculation puts the energy above the most stable polymorph in this dataset at 26.39 kcal/mol of atoms.

---

(13)
Here is Li2Tc after structural relaxation from the Alexandria database. Energies are from PBE.

It has space group Cmcm (No. 63), with a = 2.6505 Å, b = 16.1670 Å, c = 4.3054 Å, α = 90.00°, β = 90.00° and γ = 90.00°. The asymmetric unit holds Li at (0.0000, 0.0618, 0.2500), Li at (0.0000, 0.3768, 0.2500) and Tc at (0.0000, 0.2754, 0.7500).

The calculation puts the calculated volume at 184.5 Å³/cell. Its total energy is -4.5525 eV per atom. The calculation puts the energy above the most stable polymorph in this dataset at 0.00 kcal/mol of atoms.

---

(14)
Here is Li2Tc after structural relaxation from the Alexandria database. Energies are from PBE.

It has space group I4/mcm (No. 140), with a = 6.8769 Å, b = 6.8769 Å, c = 4.6354 Å, α = 90.00°, β = 90.00° and γ = 90.00°. The asymmetric unit holds Li at (0.1640, 0.3360, 0.0000) and Tc at (0.0000, 0.0000, 0.2500).

The calculation puts the calculated volume at 219.2 Å³/cell. Its total energy is -4.1942 eV per atom. The calculation puts the energy above the most stable polymorph in this dataset at 8.26 kcal/mol of atoms.